SrCa3Ru | GGA-PBE | relaxed

Calculated values
* total moment: 0.00 μB per formula unit
* density of states at the Fermi level: 4.5 states/eV/f.u.
* SG: No. 221
* crystal system: cubic
* total energy: -0.1204 hartree per atom
* formation energy: 0.6 eV per formula unit

Lattice parameters (Å, degrees): 5.6343 5.6343 5.6343 90.00 90.00 90.00
Closest atoms and distances in Å follow each position.
Fractional coordinates of all 5 atoms:
Sr: 0.0000 0.0000 0.0000  12 Ca 3.98
Ca: 0.0000 0.5000 0.5000  2 Ru 2.82
Ca: 0.5000 0.0000 0.5000  2 Ru 2.82
Ca: 0.5000 0.5000 0.0000  2 Ru 2.82
Ru: 0.5000 0.5000 0.5000  6 Ca 2.82

=====

Sr2CaRu | GGA-PBE | relaxed

Calculated values
* total moment: 0.00 μB per formula unit
* density of states at the Fermi level: 1.3 states/eV/f.u.
* SG: No. 119
* crystal system: tetragonal
* total energy: -0.1179 hartree per atom
* formation energy: 1.8 eV per formula unit

Lattice parameters (Å, degrees): 5.5654 5.5654 5.5654 121.36 121.36 87.67
Closest atoms and distances in Å follow each position.
Fractional coordinates of all 4 atoms:
Sr: 0.0000 0.0000 0.0000  4 Ca 3.38, 4 Sr 3.38
Sr: 0.7500 0.2500 0.5000  4 Ru 3.38, 4 Sr 3.38
Ca: 0.2500 0.7500 0.5000  4 Ru 3.38, 4 Sr 3.38
Ru: 0.5000 0.5000 0.0000  4 Ca 3.38, 4 Sr 3.38

=====

SrCa2Ru | GGA-PBE | relaxed

Calculated values
* total moment: 0.00 μB per formula unit
* density of states at the Fermi level: 4.4 states/eV/f.u.
* SG: No. 99
* crystal system: tetragonal
* total energy: -0.1280 hartree per atom
* formation energy: 1.0 eV per formula unit

Lattice parameters (Å, degrees): 3.6344 3.6344 9.6252 90.00 90.00 90.00
Closest atoms and distances in Å follow each position.
Fractional coordinates of all 4 atoms:
Sr: 0.0000 0.0000 0.0000  4 Ru 3.15, 1 Ca 3.34
Ca: 0.0000 0.0000 0.6529  4 Ru 2.98
Ca: 0.5000 0.5000 0.3464  8 Ca 3.63-3.91
Ru: 0.5000 0.5000 0.8100  4 Ca 2.98, 4 Sr 3.15

=====

SrCa2Ru | GGA-PBE | relaxed

Calculated values
* total moment: 0.00 μB per formula unit
* density of states at the Fermi level: 2.9 states/eV/f.u.
* SG: No. 141
* crystal system: tetragonal
* total energy: -0.1142 hartree per atom
* formation energy: 2.5 eV per formula unit

Lattice parameters (Å, degrees): 7.9358 7.9358 7.9358 119.24 119.24 91.32
Closest atoms and distances in Å follow each position.
Fractional coordinates of all 8 atoms:
Sr: 0.3750 0.6250 0.7500  12 Ca 4.62-4.70, 4 Sr 4.88, 4 Ru 4.88
Sr: 0.6250 0.3750 0.2500  12 Ca 4.62-4.70, 4 Sr 4.88, 4 Ru 4.88
Ca: 0.0000 0.0000 0.0000  2 Ru 2.44
Ca: 0.0000 0.0000 0.5000  2 Ru 2.44
Ca: 0.0000 0.5000 0.0000  2 Ru 2.44
Ca: 0.5000 0.0000 0.5000  2 Ru 2.44
Ru: 0.1250 0.8750 0.2500  4 Ca 2.44
Ru: 0.8750 0.1250 0.7500  4 Ca 2.44

=====

SrCa2Ru | GGA-PBE | relaxed

Calculated values
* total moment: 0.00 μB per formula unit
* density of states at the Fermi level: 3.5 states/eV/f.u.
* SG: No. 44
* crystal system: orthorhombic
* total energy: -0.1283 hartree per atom
* formation energy: 1.0 eV per formula unit

Lattice parameters (Å, degrees): 8.0798 8.0798 8.0798 154.72 142.96 45.38
Closest atoms and distances in Å follow each position.
Fractional coordinates of all 4 atoms:
Sr: 0.0000 0.0000 0.0000  2 Ru 3.02
Ca: 0.3351 0.8351 0.5000  4 Ru 3.12, 2 Ca 3.41
Ca: 0.6841 0.6841 0.0000  2 Ru 2.87
Ru: 0.8354 0.3354 0.5000  6 Ca 2.87-3.12, 2 Sr 3.02

=====

SrCa2Ru | GGA-PBE | relaxed

Calculated values
* total moment: 0.28 μB per formula unit
* density of states at the Fermi level: 3.9 states/eV/f.u.
* SG: No. 166
* crystal system: trigonal
* total energy: -0.1247 hartree per atom
* formation energy: 1.4 eV per formula unit

Lattice parameters (Å, degrees): 11.0485 11.0485 11.0485 19.75 19.75 19.75
Closest atoms and distances in Å follow each position.
Fractional coordinates of all 4 atoms:
Sr: 0.0000 0.0000 0.0000  6 Sr 3.79, 6 Ca 4.19
Ca: 0.2235 0.2235 0.2235  3 Ru 2.86
Ca: 0.7765 0.7765 0.7765  3 Ru 2.86
Ru: 0.5000 0.5000 0.5000  6 Ca 2.86

=====

SrCa2Ru | GGA-PBE | relaxed

Calculated values
* total moment: 0.00 μB per formula unit
* density of states at the Fermi level: 3.5 states/eV/f.u.
* SG: No. 225
* crystal system: cubic
* total energy: -0.1238 hartree per atom
* formation energy: 1.5 eV per formula unit

Lattice parameters (Å, degrees): 5.3877 5.3877 5.3877 60.00 60.00 60.00
Closest atoms and distances in Å follow each position.
Fractional coordinates of all 4 atoms:
Sr: 0.0000 0.0000 0.0000  8 Ca 3.30
Ca: 0.2500 0.2500 0.2500  4 Ru 3.30, 4 Sr 3.30
Ca: 0.7500 0.7500 0.7500  4 Ru 3.30, 4 Sr 3.30
Ru: 0.5000 0.5000 0.5000  8 Ca 3.30

=====

Sr2Ca2Ru | GGA-PBE | relaxed

Calculated values
* total moment: 1.39 μB per formula unit
* density of states at the Fermi level: 8.3 states/eV/f.u.
* SG: No. 139
* crystal system: tetragonal
* total energy: -0.0860 hartree per atom
* formation energy: 4.9 eV per formula unit

Lattice parameters (Å, degrees): 10.0397 10.0397 10.0397 154.63 154.63 36.19
Closest atoms and distances in Å follow each position.
Fractional coordinates of all 5 atoms:
Sr: 0.2500 0.7500 0.5000  4 Sr 3.12
Sr: 0.7500 0.2500 0.5000  4 Sr 3.12
Ca: 0.0805 0.0805 0.0000  1 Ca 3.07
Ca: 0.9195 0.9195 0.0000  1 Ca 3.07
Ru: 0.5000 0.5000 0.0000  8 Ca 3.48

=====

SrCa3Ru | GGA-PBE | relaxed

Calculated values
* total moment: 3.08 μB per formula unit
* density of states at the Fermi level: 6.6 states/eV/f.u.
* SG: No. 221
* crystal system: cubic
* total energy: -0.0585 hartree per atom
* formation energy: 9.0 eV per formula unit

Lattice parameters (Å, degrees): 5.6974 5.6974 5.6974 90.00 90.00 90.00
Closest atoms and distances in Å follow each position.
Fractional coordinates of all 5 atoms:
Sr: 0.0000 0.0000 0.0000  6 Ca 2.85
Ca: 0.0000 0.0000 0.5000  2 Sr 2.85
Ca: 0.0000 0.5000 0.0000  2 Sr 2.85
Ca: 0.5000 0.0000 0.0000  2 Sr 2.85
Ru: 0.5000 0.5000 0.5000  12 Ca 4.03

=====

SrCa2Ru | GGA-PBE | relaxed

Calculated values
* total moment: 0.00 μB per formula unit
* density of states at the Fermi level: 0.9 states/eV/f.u.
* SG: No. 119
* crystal system: tetragonal
* total energy: -0.1237 hartree per atom
* formation energy: 1.5 eV per formula unit

Lattice parameters (Å, degrees): 5.4347 5.4347 5.4347 120.49 120.49 89.15
Closest atoms and distances in Å follow each position.
Fractional coordinates of all 4 atoms:
Sr: 0.0000 0.0000 0.0000  4 Ru 3.32, 4 Ca 3.32
Ca: 0.2500 0.7500 0.5000  4 Ca 3.32, 4 Sr 3.32
Ca: 0.5000 0.5000 0.0000  4 Ru 3.32, 4 Ca 3.32
Ru: 0.7500 0.2500 0.5000  4 Ca 3.32, 4 Sr 3.32

=====

Sr3CaRu | GGA-PBE | relaxed

Calculated values
* total moment: 0.00 μB per formula unit
* density of states at the Fermi level: 5.0 states/eV/f.u.
* SG: No. 221
* crystal system: cubic
* total energy: -0.1110 hartree per atom
* formation energy: 1.2 eV per formula unit

Lattice parameters (Å, degrees): 5.8908 5.8908 5.8908 90.00 90.00 90.00
Closest atoms and distances in Å follow each position.
Fractional coordinates of all 5 atoms:
Sr: 0.0000 0.0000 0.5000  2 Ru 2.95
Sr: 0.0000 0.5000 0.0000  2 Ru 2.95
Sr: 0.5000 0.0000 0.0000  2 Ru 2.95
Ca: 0.5000 0.5000 0.5000  12 Sr 4.17
Ru: 0.0000 0.0000 0.0000  6 Sr 2.95

=====

Sr2CaRu | GGA-PBE | relaxed

Calculated values
* total moment: 0.00 μB per formula unit
* density of states at the Fermi level: 4.1 states/eV/f.u.
* SG: No. 99
* crystal system: tetragonal
* total energy: -0.1242 hartree per atom
* formation energy: 1.1 eV per formula unit

Lattice parameters (Å, degrees): 3.6958 3.6958 9.9885 90.00 90.00 90.00
Closest atoms and distances in Å follow each position.
Fractional coordinates of all 4 atoms:
Sr: 0.0000 0.0000 0.0000  4 Ru 3.18, 1 Ca 3.31
Sr: 0.5000 0.5000 0.3537  4 Sr 3.70, 4 Ca 4.09
Ca: 0.0000 0.0000 0.6688  4 Ru 3.01, 1 Sr 3.31
Ru: 0.5000 0.5000 0.8182  4 Ca 3.01, 4 Sr 3.18

=====

- Look up the density of states at the Fermi level of the fifth one.
  3.5 states/eV/f.u.

=====

- Number 6 is which compound?
  SrCa2Ru

=====

- Which of these has the highest total energy?
  number 9

=====

- What is the formula in the second record?
  Sr2CaRu